Entry 1:
# Ca2TcRh

A relaxed Ca2TcRh crystal (PBE-GGA, Alexandria via LeMat-Bulk).

Values from the calculation:
Formation energy from the elements = 391 meV/atom
Relative energy among the computed polymorphs = 249 meV per atom
Electronic total energy = -5.039 eV/atom
N(E_F) = 3.757 states/eV per cell

Lattice parameters (Å, degrees): 3.0035 3.9322 6.8852 90.00 90.00 90.00
Fractional coordinates of all 4 atoms:
Ca (0.0000, 0.0000, 0.2351)
Ca (0.0000, 0.0000, 0.7649)
Tc (0.5000, 0.5000, 0.5000)
Rh (0.5000, 0.5000, 0.0000)

---

Entry 2:
# NaInBr4

A relaxed NaInBr4 crystal (PBE-GGA, Alexandria via LeMat-Bulk).

Values from the calculation:
Formation energy (no corrections) = -6.1 eV/f.u.
Relative energy among the computed polymorphs = 38 meV per atom
Electronic total energy = -2.812 eV/atom
N(E_F) = 0.000 states/eV per cell

Lattice parameters (Å, degrees): 9.4497 9.4497 7.0086 104.08 104.08 127.14
Fractional coordinates of all 12 atoms:
Na (0.0793, 0.9207, 0.7500)
Na (0.9207, 0.0793, 0.2500)
In (0.4237, 0.5763, 0.2500)
In (0.5763, 0.4237, 0.7500)
Br (0.0901, 0.4467, 0.2419)
Br (0.2332, 0.3274, 0.7720)
Br (0.3274, 0.2332, 0.2720)
Br (0.4467, 0.0901, 0.7419)
Br (0.5533, 0.9099, 0.2581)
Br (0.6726, 0.7668, 0.7280)
Br (0.7668, 0.6726, 0.2280)
Br (0.9099, 0.5533, 0.7581)

---

Entry 3:
# Li2MoRu

A relaxed Li2MoRu crystal (PBE-GGA, Alexandria via LeMat-Bulk).

Values from the calculation:
Formation energy from the elements = 266 meV/atom
Relative energy among the computed polymorphs = 63 meV per atom
Electronic total energy = -5.718 eV/atom
N(E_F) = 3.647 states/eV per cell

Lattice parameters (Å, degrees): 2.7554 3.8758 5.7257 90.00 90.00 90.00
Fractional coordinates of all 4 atoms:
Li (0.0000, 0.0000, 0.0000)
Li (0.5000, 0.5000, 0.2257)
Mo (0.0000, 0.0000, 0.5293)
Ru (0.5000, 0.5000, 0.7079)

---

Entry 4:
# KBaAgSn

A relaxed KBaAgSn crystal (PBE-GGA, Alexandria via LeMat-Bulk).

Values from the calculation:
Formation energy from the elements = -195 meV/atom
Electronic total energy = -2.664 eV/atom
N(E_F) = 0.841 states/eV per cell

Lattice parameters (Å, degrees): 7.8797 7.8797 7.8797 90.00 90.00 90.00
Fractional coordinates of all 16 atoms:
K (0.0000, 0.0000, 0.0000)
K (0.0000, 0.5000, 0.5000)
K (0.5000, 0.0000, 0.5000)
K (0.5000, 0.5000, 0.0000)
Ba (0.2500, 0.2500, 0.2500)
Ba (0.2500, 0.7500, 0.7500)
Ba (0.7500, 0.2500, 0.7500)
Ba (0.7500, 0.7500, 0.2500)
Ag (0.0000, 0.0000, 0.5000)
Ag (0.0000, 0.5000, 0.0000)
Ag (0.5000, 0.0000, 0.0000)
Ag (0.5000, 0.5000, 0.5000)
Sn (0.2500, 0.2500, 0.7500)
Sn (0.2500, 0.7500, 0.2500)
Sn (0.7500, 0.2500, 0.2500)
Sn (0.7500, 0.7500, 0.7500)

---

Entry 5:
# MgBeO2

A relaxed MgBeO2 crystal (PBE-GGA, Alexandria via LeMat-Bulk).

Values from the calculation:
Formation energy (no corrections) = -5.9 eV/f.u.
Electronic total energy = -5.286 eV/atom
N(E_F) = 3.745 states/eV per cell

Lattice parameters (Å, degrees): 2.8706 2.8706 16.4505 90.00 90.00 120.00
Fractional coordinates of all 12 atoms:
Mg (0.0000, 0.0000, 0.0000)
Mg (0.3333, 0.6667, 0.6667)
Mg (0.6667, 0.3333, 0.3333)
Be (0.0000, 0.0000, 0.5000)
Be (0.3333, 0.6667, 0.1667)
Be (0.6667, 0.3333, 0.8333)
O (0.0000, 0.0000, 0.1105)
O (0.0000, 0.0000, 0.8895)
O (0.3333, 0.6667, 0.5561)
O (0.3333, 0.6667, 0.7772)
O (0.6667, 0.3333, 0.2228)
O (0.6667, 0.3333, 0.4439)

---

Entry 6:
# Tb3Ce2S4

A relaxed Tb3Ce2S4 crystal (PBE-GGA, Alexandria via LeMat-Bulk).

Values from the calculation:
Formation energy (no corrections) = -15.6 eV/f.u.
Electronic total energy = -6.432 eV/atom
N(E_F) = 13.162 states/eV per cell

Lattice parameters (Å, degrees): 6.7984 6.7984 9.6673 117.57 117.57 33.43
Fractional coordinates of all 9 atoms:
Tb (0.0000, 0.0000, 0.0000)
Tb (0.2054, 0.2054, 0.8038)
Tb (0.7946, 0.7946, 0.1962)
Ce (0.4016, 0.4016, 0.5956)
Ce (0.5984, 0.5984, 0.4044)
S (0.1970, 0.1970, 0.2953)
S (0.3973, 0.3973, 0.0974)
S (0.6027, 0.6027, 0.9026)
S (0.8030, 0.8030, 0.7047)

---

Entry 7:
# CaBe4Ni

A relaxed CaBe4Ni crystal (PBE-GGA, Alexandria via LeMat-Bulk).

Values from the calculation:
Formation energy from the elements = 37 meV/atom
Electronic total energy = -3.744 eV/atom
N(E_F) = 0.443 states/eV per cell

Lattice parameters (Å, degrees): 4.5895 4.5895 4.5895 60.00 60.00 60.00
Fractional coordinates of all 6 atoms:
Ca (0.0000, 0.0000, 0.0000)
Be (0.1380, 0.6207, 0.6207)
Be (0.6207, 0.1380, 0.6207)
Be (0.6207, 0.6207, 0.1380)
Be (0.6207, 0.6207, 0.6207)
Ni (0.2500, 0.2500, 0.2500)

---

Entry 8:
# La2InSb3Pd4

A relaxed La2InSb3Pd4 crystal (PBE-GGA, Alexandria via LeMat-Bulk).

Values from the calculation:
Formation energy (no corrections) = -8.8 eV/f.u.
Electronic total energy = -5.453 eV/atom
N(E_F) = 4.253 states/eV per cell

Lattice parameters (Å, degrees): 4.5332 4.5332 11.1936 90.00 90.00 90.00
Fractional coordinates of all 10 atoms:
La (0.0000, 0.5000, 0.2361)
La (0.5000, 0.0000, 0.7639)
In (0.0000, 0.0000, 0.5000)
Sb (0.0000, 0.5000, 0.8684)
Sb (0.5000, 0.0000, 0.1316)
Sb (0.5000, 0.5000, 0.5000)
Pd (0.0000, 0.0000, 0.0000)
Pd (0.0000, 0.5000, 0.6356)
Pd (0.5000, 0.0000, 0.3644)
Pd (0.5000, 0.5000, 0.0000)

---

Entry 9:
# Pm2NdSm2Ho2

A relaxed Pm2NdSm2Ho2 crystal (PBE-GGA, Alexandria via LeMat-Bulk).

Values from the calculation:
Formation energy from the elements = 15 meV/atom
Electronic total energy = -4.680 eV/atom
N(E_F) = 18.995 states/eV per cell

Lattice parameters (Å, degrees): 11.4045 5.1071 8.0903 90.00 98.10 90.00
Fractional coordinates of all 14 atoms:
Pm (0.1432, 0.0000, 0.4293)
Pm (0.3568, 0.5000, 0.5707)
Pm (0.6432, 0.5000, 0.4293)
Pm (0.8568, 0.0000, 0.5707)
Nd (0.0000, 0.0000, 0.0000)
Nd (0.5000, 0.5000, 0.0000)
Sm (0.0715, 0.5000, 0.7164)
Sm (0.4285, 0.0000, 0.2836)
Sm (0.5715, 0.0000, 0.7164)
Sm (0.9285, 0.5000, 0.2836)
Ho (0.2148, 0.5000, 0.1417)
Ho (0.2852, 0.0000, 0.8583)
Ho (0.7148, 0.0000, 0.1417)
Ho (0.7852, 0.5000, 0.8583)

---

Entry 10:
# ZnTeAsPd2

A relaxed ZnTeAsPd2 crystal (PBE-GGA, Alexandria via LeMat-Bulk).

Values from the calculation:
Formation energy (no corrections) = 1.8 eV/f.u.
Electronic total energy = -3.539 eV/atom
N(E_F) = 2.577 states/eV per cell

Lattice parameters (Å, degrees): 4.6083 4.6083 5.8713 90.00 90.00 90.00
Fractional coordinates of all 5 atoms:
Zn (0.0000, 0.0000, 0.0000)
Te (0.5000, 0.5000, 0.0000)
As (0.5000, 0.5000, 0.5000)
Pd (0.0000, 0.5000, 0.5000)
Pd (0.5000, 0.0000, 0.5000)

---

Entry 11:
# KRbSr2

A relaxed KRbSr2 crystal (PBE-GGA, Alexandria via LeMat-Bulk).

Values from the calculation:
Formation energy from the elements = 304 meV/atom
Relative energy among the computed polymorphs = 236 meV per atom
Electronic total energy = -1.054 eV/atom
N(E_F) = 16.092 states/eV per cell

Lattice parameters (Å, degrees): 11.4838 11.4838 8.4939 90.00 90.00 90.00
Fractional coordinates of all 16 atoms:
K (0.0000, 0.0000, 0.0000)
K (0.0000, 0.5000, 0.2500)
K (0.5000, 0.0000, 0.7500)
K (0.5000, 0.5000, 0.5000)
Rb (0.0000, 0.0000, 0.5000)
Rb (0.0000, 0.5000, 0.7500)
Rb (0.5000, 0.0000, 0.2500)
Rb (0.5000, 0.5000, 0.0000)
Sr (0.2416, 0.2500, 0.1250)
Sr (0.2500, 0.7416, 0.3750)
Sr (0.2500, 0.7584, 0.8750)
Sr (0.2584, 0.2500, 0.6250)
Sr (0.7416, 0.7500, 0.6250)
Sr (0.7500, 0.2416, 0.8750)
Sr (0.7500, 0.2584, 0.3750)
Sr (0.7584, 0.7500, 0.1250)

---

Entry 12:
# TmAu4

A relaxed TmAu4 crystal (PBE-GGA, Alexandria via LeMat-Bulk).

Values from the calculation:
Formation energy from the elements = -604 meV/atom
Electronic total energy = -4.120 eV/atom
N(E_F) = 2.611 states/eV per cell

Lattice parameters (Å, degrees): 6.7804 6.7804 4.1771 90.00 90.00 90.00
Fractional coordinates of all 10 atoms:
Tm (0.0000, 0.0000, 0.0000)
Tm (0.5000, 0.5000, 0.5000)
Au (0.1006, 0.2996, 0.5000)
Au (0.2004, 0.6006, 0.0000)
Au (0.2996, 0.8994, 0.5000)
Au (0.3994, 0.2004, 0.0000)
Au (0.6006, 0.7996, 0.0000)
Au (0.7004, 0.1006, 0.5000)
Au (0.7996, 0.3994, 0.0000)
Au (0.8994, 0.7004, 0.5000)

---

Entry 13:
# Cu4AgPd5

A relaxed Cu4AgPd5 crystal (PBE-GGA, Alexandria via LeMat-Bulk).

Values from the calculation:
Formation energy from the elements = -96 meV/atom
Electronic total energy = -4.616 eV/atom
N(E_F) = 10.485 states/eV per cell

Lattice parameters (Å, degrees): 3.0060 3.0060 15.8743 90.00 90.00 90.00
Fractional coordinates of all 10 atoms:
Cu (0.0000, 0.0000, 0.0955)
Cu (0.0000, 0.0000, 0.2869)
Cu (0.0000, 0.0000, 0.7131)
Cu (0.0000, 0.0000, 0.9045)
Ag (0.0000, 0.0000, 0.5000)
Pd (0.5000, 0.5000, 0.0000)
Pd (0.5000, 0.5000, 0.1911)
Pd (0.5000, 0.5000, 0.3818)
Pd (0.5000, 0.5000, 0.6182)
Pd (0.5000, 0.5000, 0.8089)

---

Entry 14:
# TiFe2Ag

A relaxed TiFe2Ag crystal (PBE-GGA, Alexandria via LeMat-Bulk).

Values from the calculation:
Formation energy from the elements = 361 meV/atom
Relative energy among the computed polymorphs = 0 meV per atom
Electronic total energy = -6.557 eV/atom
N(E_F) = 23.190 states/eV per cell

Lattice parameters (Å, degrees): 5.9925 5.9925 5.9925 90.00 90.00 90.00
Fractional coordinates of all 16 atoms:
Ti (0.0000, 0.0000, 0.0000)
Ti (0.0000, 0.5000, 0.5000)
Ti (0.5000, 0.0000, 0.5000)
Ti (0.5000, 0.5000, 0.0000)
Fe (0.2500, 0.2500, 0.2500)
Fe (0.2500, 0.2500, 0.7500)
Fe (0.2500, 0.7500, 0.2500)
Fe (0.2500, 0.7500, 0.7500)
Fe (0.7500, 0.2500, 0.2500)
Fe (0.7500, 0.2500, 0.7500)
Fe (0.7500, 0.7500, 0.2500)
Fe (0.7500, 0.7500, 0.7500)
Ag (0.0000, 0.0000, 0.5000)
Ag (0.0000, 0.5000, 0.0000)
Ag (0.5000, 0.0000, 0.0000)
Ag (0.5000, 0.5000, 0.5000)

---

Entry 15:
# La2TmAl12Pd3

A relaxed La2TmAl12Pd3 crystal (PBE-GGA, Alexandria via LeMat-Bulk).

Values from the calculation:
Formation energy from the elements = -58 meV/atom
Electronic total energy = -4.214 eV/atom
N(E_F) = 8.941 states/eV per cell

Lattice parameters (Å, degrees): 8.0262 8.0262 8.0262 65.57 65.57 65.57
Fractional coordinates of all 18 atoms:
La (0.0791, 0.0791, 0.0791)
La (0.9209, 0.9209, 0.9209)
Tm (0.5000, 0.5000, 0.5000)
Al (0.0373, 0.6715, 0.6715)
Al (0.2364, 0.2364, 0.6439)
Al (0.2364, 0.6439, 0.2364)
Al (0.3285, 0.3285, 0.9627)
Al (0.3285, 0.9627, 0.3285)
Al (0.3561, 0.7636, 0.7636)
Al (0.6439, 0.2364, 0.2364)
Al (0.6715, 0.0373, 0.6715)
Al (0.6715, 0.6715, 0.0373)
Al (0.7636, 0.3561, 0.7636)
Al (0.7636, 0.7636, 0.3561)
Al (0.9627, 0.3285, 0.3285)
Pd (0.0000, 0.5000, 0.5000)
Pd (0.5000, 0.0000, 0.5000)
Pd (0.5000, 0.5000, 0.0000)

---

Entry 16:
# CeSc2Al

A relaxed CeSc2Al crystal (PBE-GGA, Alexandria via LeMat-Bulk).

Values from the calculation:
Formation energy from the elements = -125 meV/atom
Relative energy among the computed polymorphs = 78 meV per atom
Electronic total energy = -5.710 eV/atom
N(E_F) = 14.902 states/eV per cell

Lattice parameters (Å, degrees): 5.0555 6.4402 5.7657 90.00 90.00 90.00
Fractional coordinates of all 8 atoms:
Ce (0.2500, 0.2500, 0.1237)
Ce (0.7500, 0.7500, 0.8763)
Sc (0.2500, 0.0078, 0.6608)
Sc (0.2500, 0.4922, 0.6608)
Sc (0.7500, 0.5078, 0.3392)
Sc (0.7500, 0.9922, 0.3392)
Al (0.2500, 0.7500, 0.2015)
Al (0.7500, 0.2500, 0.7985)

---

Entry 17:
# AgOsPb2

A relaxed AgOsPb2 crystal (PBE-GGA, Alexandria via LeMat-Bulk).

Values from the calculation:
Formation energy from the elements = 632 meV/atom
Relative energy among the computed polymorphs = 29 meV per atom
Electronic total energy = -4.743 eV/atom
N(E_F) = 1.901 states/eV per cell

Lattice parameters (Å, degrees): 3.3504 3.3504 7.8584 90.00 90.00 90.00
Fractional coordinates of all 4 atoms:
Ag (0.0000, 0.0000, 0.0000)
Os (0.0000, 0.0000, 0.5000)
Pb (0.5000, 0.5000, 0.2799)
Pb (0.5000, 0.5000, 0.7201)

---

Entry 18:
# Mg2ScTl

A relaxed Mg2ScTl crystal (PBE-GGA, Alexandria via LeMat-Bulk).

Values from the calculation:
Formation energy from the elements = 32 meV/atom
Relative energy among the computed polymorphs = 216 meV per atom
Electronic total energy = -2.940 eV/atom
N(E_F) = 8.690 states/eV per cell

Lattice parameters (Å, degrees): 7.1617 7.1617 7.1617 90.00 90.00 90.00
Fractional coordinates of all 16 atoms:
Mg (0.2500, 0.2500, 0.2500)
Mg (0.2500, 0.2500, 0.7500)
Mg (0.2500, 0.7500, 0.2500)
Mg (0.2500, 0.7500, 0.7500)
Mg (0.7500, 0.2500, 0.2500)
Mg (0.7500, 0.2500, 0.7500)
Mg (0.7500, 0.7500, 0.2500)
Mg (0.7500, 0.7500, 0.7500)
Sc (0.0000, 0.0000, 0.0000)
Sc (0.0000, 0.5000, 0.5000)
Sc (0.5000, 0.0000, 0.5000)
Sc (0.5000, 0.5000, 0.0000)
Tl (0.0000, 0.0000, 0.5000)
Tl (0.0000, 0.5000, 0.0000)
Tl (0.5000, 0.0000, 0.0000)
Tl (0.5000, 0.5000, 0.5000)

---

Entry 19:
# Ba4Al5Zn2

A relaxed Ba4Al5Zn2 crystal (PBE-GGA, Alexandria via LeMat-Bulk).

Values from the calculation:
Formation energy from the elements = -50 meV/atom
Electronic total energy = -2.682 eV/atom
N(E_F) = 5.615 states/eV per cell

Lattice parameters (Å, degrees): 8.1006 3.9526 10.8130 90.00 101.70 90.00
Fractional coordinates of all 11 atoms:
Ba (0.1365, 0.0000, 0.3709)
Ba (0.2738, 0.0000, 0.9111)
Ba (0.7262, 0.0000, 0.0889)
Ba (0.8635, 0.0000, 0.6291)
Al (0.2698, 0.5000, 0.6422)
Al (0.4171, 0.5000, 0.2196)
Al (0.5000, 0.5000, 0.5000)
Al (0.5829, 0.5000, 0.7804)
Al (0.7302, 0.5000, 0.3578)
Zn (0.0951, 0.5000, 0.1105)
Zn (0.9049, 0.5000, 0.8895)

---

Entry 20:
# LaTaNb2Bi

A relaxed LaTaNb2Bi crystal (PBE-GGA, Alexandria via LeMat-Bulk).

Values from the calculation:
Formation energy from the elements = 2176 meV/atom
Electronic total energy = -5.984 eV/atom
N(E_F) = 7.302 states/eV per cell

Lattice parameters (Å, degrees): 4.8640 4.8640 5.8154 90.00 90.00 90.00
Fractional coordinates of all 5 atoms:
La (0.0000, 0.0000, 0.0000)
Ta (0.5000, 0.5000, 0.5000)
Nb (0.0000, 0.5000, 0.0000)
Nb (0.5000, 0.0000, 0.0000)
Bi (0.0000, 0.0000, 0.5000)